4
Lattice="-1.630 -1.014 2.978 -1.451 -3.225 0.216 9.489 -5.861 5.306" Properties=species:S:1:pos:R:3 comment="LaNd2Sn (PBE, relaxed)" spacegroup="R-3m (166)" vol_a3_per_cell=132 de_polymorph_ev_per_atom=0.4040 ef_ev_per_fu=-0.2 pbc="T T T"
Nd -0.096 -5.501 4.398
Nd 6.504 -4.598 4.102
Sn 3.204 -5.050 4.250
La 0.000 0.000 0.000

***

16
Lattice="6.856 0.000 0.000 0.000 9.480 0.000 0.000 -4.740 8.210" Properties=species:S:1:pos:R:3 comment="La3Nd2Sn3 (PBE, relaxed)" spacegroup="P6_3/mcm (193)" vol_a3_per_cell=534 ef_ev_per_fu=-5.6 pbc="T T T"
Nd 0.000 4.740 2.737
La 1.714 1.183 2.050
Sn 5.142 5.763 0.000
Nd 3.428 0.000 5.473
Nd 3.428 4.740 2.737
La 5.142 3.557 6.160
La 1.714 7.113 0.000
Sn 1.714 3.717 0.000
La 5.142 2.367 0.000
Nd 0.000 0.000 5.473
Sn 5.142 1.859 3.219
Sn 5.142 -2.881 4.991
Sn 1.714 -1.859 3.219
Sn 1.714 2.881 4.991
La 1.714 -3.557 6.160
La 5.142 -1.183 2.050

***

10
Lattice="5.260 0.000 0.000 -2.630 4.555 0.000 0.000 0.000 13.206" Properties=species:S:1:pos:R:3 comment="LaNd2Sn2 (PBE, relaxed)" spacegroup="P6_3/mmc (194)" vol_a3_per_cell=316 de_polymorph_ev_per_atom=0.1363 ef_ev_per_fu=-1.6 pbc="T T T"
Sn 2.630 1.518 4.907
Sn 2.630 1.518 1.696
Nd 0.000 0.000 0.000
Nd 2.630 1.518 9.904
Sn 0.000 3.037 11.509
La 0.000 0.000 3.301
Nd 0.000 3.037 3.301
Nd 0.000 0.000 6.603
Sn 0.000 3.037 8.299
La 0.000 0.000 9.904

***

15
Lattice="-7.670 2.628 2.676 0.319 1.232 8.443 0.360 8.392 1.532" Properties=species:S:1:pos:R:3 comment="La8Nd6Sn (PBE, relaxed)" spacegroup="R-3 (148)" vol_a3_per_cell=542 ef_ev_per_fu=0.4 pbc="T T T"
La -5.280 9.253 9.555
Nd -3.066 3.338 6.570
La -0.424 9.073 7.065
Nd -4.464 5.450 3.752
La -2.548 8.383 2.766
La -6.567 3.179 5.586
La -1.711 2.998 3.096
Nd -0.966 6.102 5.053
Nd -3.924 8.914 6.081
Sn 0.000 0.000 0.000
Nd -6.025 6.149 7.598
La 0.031 4.359 8.089
Nd -2.527 6.802 8.899
La -4.442 3.868 9.885
La -7.021 7.893 4.563

***

9
Lattice="-0.585 1.466 -4.793 2.774 -5.650 0.590 -11.004 -1.608 0.852" Properties=species:S:1:pos:R:3 comment="La6Nd2Sn (PBE, relaxed)" spacegroup="C2/m (12)" vol_a3_per_cell=309 ef_ev_per_fu=-1.4 pbc="T T T"
Nd -7.362 -1.892 -2.336
La -5.051 -4.110 -0.640
Nd -1.453 -3.900 -1.015
La -8.783 -4.815 -0.400
Sn -5.502 -0.804 0.426
La -0.033 -0.977 -2.951
La -1.884 -0.380 0.114
La -3.764 -1.682 -2.711
La -6.931 -5.413 -3.465

***

12
Lattice="-6.497 4.955 1.705 -3.950 0.002 -7.317 -4.999 -4.525 -2.028" Properties=species:S:1:pos:R:3 comment="LaNd5Sn6 (PBE, relaxed)" spacegroup="C2/m (12)" vol_a3_per_cell=387 ef_ev_per_fu=-7.2 pbc="T T T"
Nd -2.977 -1.498 -3.118
Sn -5.631 -0.313 -4.484
Nd -8.197 0.986 -5.927
Sn -9.815 0.746 -3.156
Sn -7.811 3.707 -4.194
Nd -5.973 -3.025 -6.227
Sn -6.901 2.150 -0.004
Nd -7.250 -0.554 -1.714
La 0.000 0.000 0.000
Nd -5.224 2.479 -2.806
Sn -8.545 -1.717 -7.637
Sn -2.637 1.250 -1.419

***

18
Lattice="-7.033 4.397 -0.640 2.995 -6.294 -6.742 -4.326 -6.338 3.994" Properties=species:S:1:pos:R:3 comment="La3Nd2Sn4 (PBE, relaxed)" spacegroup="P2_1/c (14)" vol_a3_per_cell=583 ef_ev_per_fu=-7.1 pbc="T T T"
Nd -0.051 -2.610 -0.972
Nd -4.242 -1.399 -0.670
Sn -6.757 -8.555 -2.856
Sn -5.242 -0.170 -3.498
La -5.110 -3.248 -4.724
Sn -1.607 0.321 -0.532
La -0.665 -6.316 -1.374
Nd -4.122 -6.835 -2.718
Sn -3.121 -8.064 0.110
Nd -8.312 -5.624 -2.416
Sn -6.964 -0.176 0.847
Sn -1.400 -8.058 -4.235
Sn -5.606 -4.354 -1.162
La -1.003 -4.580 -4.950
La -2.019 -0.948 -3.691
La -7.361 -3.654 1.562
Sn -2.758 -3.880 -2.226
La -3.253 -4.986 1.337

***

6
Lattice="-1.204 3.497 -2.927 1.612 -3.711 -5.096 -6.502 -2.277 3.755" Properties=species:S:1:pos:R:3 comment="La2NdSn3 (PBE, relaxed)" spacegroup="Immm (71)" vol_a3_per_cell=207 ef_ev_per_fu=-3.4 pbc="T T T"
Sn -4.273 -1.617 -0.174
Sn -1.821 -0.874 -4.094
La -2.727 0.944 -1.550
La -3.366 -3.435 -2.718
Sn 0.000 0.000 0.000
Nd 0.806 -1.856 -2.548

***

12
Lattice="6.080 0.000 -1.629 0.000 7.122 0.000 -3.711 0.000 10.147" Properties=species:S:1:pos:R:3 comment="La4NdSn (PBE, relaxed)" spacegroup="P2_1/m (11)" vol_a3_per_cell=396 de_polymorph_ev_per_atom=0.0000 ef_ev_per_fu=-1.6 pbc="T T T"
La 1.777 3.496 2.672
Sn -2.413 5.342 6.705
Sn 4.782 1.781 1.813
La 5.928 1.781 -1.461
La 4.781 5.342 1.738
La -2.412 1.781 6.779
Nd 3.040 0.000 -0.815
Nd 3.040 3.561 -0.815
La 1.777 0.065 2.672
La 0.592 7.058 5.845
La 0.592 3.626 5.845
La -3.559 5.342 9.979

***

14
Lattice="-1.458 -2.319 4.719 9.177 -2.137 1.784 -3.645 8.355 2.980" Properties=species:S:1:pos:R:3 comment="LaNd3Sn3 (PBE, relaxed)" spacegroup="P6_3/m (176)" vol_a3_per_cell=435 ef_ev_per_fu=-3.9 pbc="T T T"
Nd -1.227 1.454 1.913
Sn 6.036 -0.550 6.326
Nd 0.269 -0.246 4.694
Nd 3.806 4.145 4.790
Sn 2.602 1.514 6.280
Sn -1.962 4.449 3.158
Nd -1.785 7.234 4.581
Nd 5.859 -3.336 4.903
Sn 1.472 2.385 3.204
Sn 1.284 6.000 4.922
Nd 5.301 2.444 7.571
Sn 2.791 -2.101 4.561
La -0.464 3.118 6.121
La 4.539 0.780 3.363

***

12
Lattice="-4.624 -1.814 -0.449 0.899 -3.209 3.710 -5.098 10.451 10.276" Properties=species:S:1:pos:R:3 comment="LaNd9Sn2 (PBE, relaxed)" spacegroup="P4/mmm (123)" vol_a3_per_cell=386 ef_ev_per_fu=-3.3 pbc="T T T"
La 0.000 0.000 0.000
Nd -0.465 0.270 3.698
Sn -3.371 6.911 6.795
Nd -3.226 0.967 1.619
Nd -3.734 6.972 10.288
Sn -1.727 3.540 3.481
Nd -6.495 7.669 8.209
Nd -3.605 1.060 5.143
Nd -1.862 -2.512 1.631
Nd -5.218 4.367 8.395
Nd -2.099 3.621 6.993
Nd -4.861 4.318 4.914

***

8
Lattice="-3.136 0.123 -2.367 0.588 -7.243 -1.156 -4.209 1.968 8.943" Properties=species:S:1:pos:R:3 comment="La3NdSn4 (PBE, relaxed)" spacegroup="Immm (71)" vol_a3_per_cell=265 ef_ev_per_fu=-4.9 pbc="T T T"
Sn -2.801 -2.492 0.317
Sn -4.196 0.292 5.575
La 0.294 -3.622 -0.578
Nd -1.568 0.062 -1.184
Sn -3.956 -2.660 5.102
La -2.288 -0.663 2.997
Sn -2.561 -5.444 -0.155
La -4.469 -4.489 2.423